1.
Entry from the Alexandria database: Li2Mg2Tl after structural relaxation (PBE-GGA).

a b c (Å): 7.9511 7.9511 3.4647
angles (deg): 90.00 90.00 90.00
Fractional coordinates of all 10 atoms:
Li 0.1604 0.3396 0.0000
Li 0.3396 0.8396 0.0000
Li 0.6604 0.1604 0.0000
Li 0.8396 0.6604 0.0000
Mg 0.1363 0.6363 0.5000
Mg 0.3637 0.1363 0.5000
Mg 0.6363 0.8637 0.5000
Mg 0.8637 0.3637 0.5000
Tl 0.0000 0.0000 0.5000
Tl 0.5000 0.5000 0.5000

Summary:
**Space-group type**: P4/mbm (127)
**Final energy**: -1.913 eV per atom
**Formation enthalpy at 0 K**: -36 meV per atom
**ρ**: 4.046 g/cm³
**Relative energy among the computed polymorphs**: 25.6 meV/atom
**Crystal system**: tetragonal

2.
Entry from the Alexandria database: LiMg2Tl after structural relaxation (PBE-GGA).

a b c (Å): 4.9568 4.9568 4.9568
angles (deg): 60.00 60.00 60.00
Fractional coordinates of all 4 atoms:
Li 0.0000 0.0000 0.0000
Mg 0.5000 0.5000 0.5000
Mg 0.7500 0.7500 0.7500
Tl 0.2500 0.2500 0.2500

Summary:
**Space-group type**: F-43m (216)
**Final energy**: -1.966 eV per atom
**Formation enthalpy at 0 K**: -99 meV per atom
**ρ**: 5.012 g/cm³
**Relative energy among the computed polymorphs**: 31.7 meV/atom
**Crystal system**: cubic

3.
Entry from the Alexandria database: Li3MgTl6 after structural relaxation (PBE-GGA).

a b c (Å): 8.5384 11.8331 4.8880
angles (deg): 90.00 90.00 90.00
Fractional coordinates of all 20 atoms:
Li 0.0000 0.0000 0.0000
Li 0.1600 0.3357 0.5000
Li 0.3400 0.8357 0.0000
Li 0.5000 0.5000 0.5000
Li 0.6600 0.1643 0.0000
Li 0.8400 0.6643 0.5000
Mg 0.0000 0.5000 0.0000
Mg 0.5000 0.0000 0.5000
Tl 0.0072 0.7532 0.0000
Tl 0.1505 0.9054 0.5000
Tl 0.1911 0.6065 0.5000
Tl 0.3089 0.1065 0.0000
Tl 0.3495 0.4054 0.0000
Tl 0.4928 0.2532 0.5000
Tl 0.5072 0.7468 0.5000
Tl 0.6505 0.5946 0.0000
Tl 0.6911 0.8935 0.0000
Tl 0.8089 0.3935 0.5000
Tl 0.8495 0.0946 0.5000
Tl 0.9928 0.2468 0.0000

Summary:
**Space-group type**: Pnnm (58)
**Final energy**: -2.250 eV per atom
**Formation enthalpy at 0 K**: -97 meV per atom
**ρ**: 8.550 g/cm³
**Relative energy among the computed polymorphs**: 0.0 meV/atom
**Crystal system**: orthorhombic